# 1
## Tl2ReMo (GGA-PBE)

Data for a relaxed structure of Tl2ReMo.

Values from the calculation:
D(E_F): 8.42 states/eV per cell
SG: C2/m, No. 12
M_tot: 0.0 μB/f.u.
calculated volume: 18.9 A^3/atom
ΔE_f: 1.021 eV/atom

Lattice parameters (Å, degrees): 9.510 3.077 5.277 90.00 100.95 90.00
Fractional positions:
Tl 0.249 0.000 0.249
Tl 0.251 0.500 0.751
Tl 0.749 0.500 0.249
Tl 0.751 0.000 0.751
Re 0.000 0.500 0.000
Re 0.500 0.000 0.000
Mo 0.000 0.000 0.500
Mo 0.500 0.500 0.500


# 2
## Tl2ReMo (GGA-PBE)

Data for a relaxed structure of Tl2ReMo.

Values from the calculation:
D(E_F): 3.75 states/eV per cell
SG: Pmmm, No. 47
M_tot: 0.1 μB/f.u.
calculated volume: 19.3 A^3/atom
ΔE_f: 1.062 eV/atom

Lattice parameters (Å, degrees): 3.079 4.840 5.180 90.00 90.00 90.00
Fractional positions:
Tl 0.000 0.000 0.000
Tl 0.500 0.000 0.500
Re 0.000 0.500 0.500
Mo 0.500 0.500 0.000


| no. | relative energy among the computed polymorphs (kJ/mol of formula units) |
| --- | --- |
| 1 | 217 |
| 2 | 233 |